# NiPOsI2

A crystal of NiPOsI2 relaxed with PBEsol (meta-GGA SCAN, the Alexandria database).

## Properties
Space-group type: P4/mmm (123)
Formation energy from raw total energies in eV per formula unit: 7.85
Total DFT energy (no corrections) in eV/cell: -164.08
Density in Mg/m³: 6.9

```
NiPOsI2
1.0
4.3634 0.0000 0.0000
0.0000 5.4300 0.0000
0.0000 0.0000 5.4300
Ni P Os I
1 1 1 2
direct
0.5000 0.5000 0.5000
0.0000 0.0000 0.0000
0.5000 0.0000 0.0000
0.0000 0.0000 0.5000
0.0000 0.5000 0.0000
```

***

# NiTePI2

A crystal of NiTePI2 relaxed with PBEsol (meta-GGA SCAN, the Alexandria database).

## Properties
Space-group type: P4/mmm (123)
Formation energy from raw total energies in eV per formula unit: 3.82
Total DFT energy (no corrections) in eV/cell: -133.49
Density in Mg/m³: 6.2

```
NiTePI2
1.0
4.9756 0.0000 0.0000
0.0000 4.9756 0.0000
0.0000 0.0000 5.0704
I Ni Te P
2 1 1 1
direct
0.5000 0.0000 0.0000
0.0000 0.5000 0.0000
0.0000 0.0000 0.0000
0.0000 0.0000 0.5000
0.5000 0.5000 0.5000
```

***

# NiTe2PbI

A crystal of NiTe2PbI relaxed with PBEsol (meta-GGA SCAN, the Alexandria database).

## Properties
Space-group type: P4/mmm (123)
Formation energy from raw total energies in eV per formula unit: 0.46
Total DFT energy (no corrections) in eV/cell: -202.74
Density in Mg/m³: 8.0

```
NiTe2PbI
1.0
-0.3962 3.9521 3.1327
-0.9336 -3.1455 3.8502
5.1213 -0.2858 1.0083
Ni Te Pb I
1 2 1 1
direct
0.0000 0.0000 0.0000
0.5000 0.0000 0.0000
0.0000 0.5000 0.0000
0.5000 0.5000 0.5000
0.0000 0.0000 0.5000
```

***

# NiPdI3

A crystal of NiPdI3 relaxed with PBEsol (meta-GGA SCAN, the Alexandria database).

## Properties
Space-group type: Pm-3m (221)
Formation energy from raw total energies in eV per formula unit: 3.29
Total DFT energy (no corrections) in eV/cell: -155.88
Density in Mg/m³: 5.9

```
NiPdI3
1.0
-2.9075 1.5701 4.2209
3.0932 -2.9553 3.2300
3.2731 4.1875 0.6970
I Pd Ni
3 1 1
direct
0.0000 0.5000 0.0000
0.5000 0.0000 0.0000
0.0000 0.0000 0.5000
0.0000 0.0000 0.0000
0.5000 0.5000 0.5000
```

***

# Ti2NiPdI

A crystal of Ti2NiPdI relaxed with PBEsol (meta-GGA SCAN, the Alexandria database).

## Properties
Space-group type: P4/mmm (123)
Formation energy from raw total energies in eV per formula unit: 1.78
Total DFT energy (no corrections) in eV/cell: -115.97
Density in Mg/m³: 6.8

```
Ti2NiPdI
1.0
4.4691 0.0000 0.0000
0.0000 4.4691 0.0000
0.0000 0.0000 4.7311
Ti I Pd Ni
2 1 1 1
direct
0.5000 0.0000 0.0000
0.0000 0.5000 0.0000
0.5000 0.5000 0.5000
0.0000 0.0000 0.5000
0.0000 0.0000 0.0000
```

***

# RbNi2I

A crystal of RbNi2I relaxed with PBEsol (meta-GGA SCAN, the Alexandria database).

## Properties
Space-group type: Fm-3m (225)
Formation energy from raw total energies in eV per formula unit: 4.17
Total DFT energy (no corrections) in eV/cell: -85.66
Density in Mg/m³: 7.2

```
RbNi2I
1.0
4.7627 0.0000 0.0000
2.3814 4.1246 0.0000
2.3814 1.3749 3.8887
Ni I Rb
2 1 1
direct
0.7500 0.7500 0.7500
0.2500 0.2500 0.2500
0.5000 0.5000 0.5000
0.0000 0.0000 0.0000
```

***

# Rb3NiI

A crystal of Rb3NiI relaxed with PBEsol (meta-GGA SCAN, the Alexandria database).

## Properties
Space-group type: Pm-3m (221)
Formation energy from raw total energies in eV per formula unit: -0.46
Total DFT energy (no corrections) in eV/cell: -115.59
Density in Mg/m³: 3.3

```
Rb3NiI
1.0
-5.7858 -1.7699 -0.3878
1.6144 -4.4466 -3.7921
0.8226 -3.7221 4.7146
Ni Rb I
1 3 1
direct
0.0000 0.0000 0.0000
0.0000 0.0000 0.5000
0.0000 0.5000 0.0000
0.5000 0.0000 0.0000
0.5000 0.5000 0.5000
```

***

# RbNiI2

A crystal of RbNiI2 relaxed with PBEsol (meta-GGA SCAN, the Alexandria database).

## Properties
Space-group type: Fm-3m (225)
Formation energy from raw total energies in eV per formula unit: -0.14
Total DFT energy (no corrections) in eV/cell: -110.53
Density in Mg/m³: 5.5

```
RbNiI2
1.0
-3.0590 0.9732 4.5244
-2.1010 -4.2416 2.8929
2.0200 -1.2010 5.0251
Ni Rb I
1 1 2
direct
0.0000 0.0000 0.0000
0.5000 0.5000 0.5000
0.7500 0.7500 0.7500
0.2500 0.2500 0.2500
```

***

# Re3NiI

A crystal of Re3NiI relaxed with PBEsol (meta-GGA SCAN, the Alexandria database).

## Properties
Space-group type: Pm-3m (221)
Formation energy from raw total energies in eV per formula unit: 16.97
Total DFT energy (no corrections) in eV/cell: -249.24
Density in Mg/m³: 11.8

```
Re3NiI
1.0
-1.8313 -0.6074 -4.3004
3.3103 -3.2163 -0.9554
-2.8114 -3.3914 1.6762
Ni I Re
1 1 3
direct
0.5000 0.5000 0.5000
0.0000 0.0000 0.0000
0.0000 0.0000 0.5000
0.5000 0.0000 0.0000
0.0000 0.5000 0.0000
```

***

# ZrReNiI2

A crystal of ZrReNiI2 relaxed with PBEsol (meta-GGA SCAN, the Alexandria database).

## Properties
Space-group type: P4/mmm (123)
Formation energy from raw total energies in eV per formula unit: 6.94
Total DFT energy (no corrections) in eV/cell: -184.52
Density in Mg/m³: 8.5

```
ZrReNiI2
1.0
4.8109 0.0000 0.0000
0.0000 4.8985 0.0000
0.0000 0.0000 4.8985
Zr Ni I Re
1 1 2 1
direct
0.5000 0.0000 0.0000
0.0000 0.0000 0.0000
0.0000 0.5000 0.0000
0.0000 0.0000 0.5000
0.5000 0.5000 0.5000
```

***

# NiRh2I

A crystal of NiRh2I relaxed with PBEsol (meta-GGA SCAN, the Alexandria database).

## Properties
Space-group type: Fm-3m (225)
Formation energy from raw total energies in eV per formula unit: 2.21
Total DFT energy (no corrections) in eV/cell: -118.25
Density in Mg/m³: 11.0

```
NiRh2I
1.0
-2.5914 3.5211 -0.1366
-3.9415 -0.2569 -1.8791
-3.6113 0.1546 2.4630
Rh I Ni
2 1 1
direct
0.2500 0.2500 0.2500
0.7500 0.7500 0.7500
0.5000 0.5000 0.5000
0.0000 0.0000 0.0000
```

***

# Ni2RhWI

A crystal of Ni2RhWI relaxed with PBEsol (meta-GGA SCAN, the Alexandria database).

## Properties
Space-group type: P4/mmm (123)
Formation energy from raw total energies in eV per formula unit: 9.39
Total DFT energy (no corrections) in eV/cell: -163.16
Density in Mg/m³: 9.4

```
Ni2RhWI
1.0
-1.7537 0.1149 -4.0776
3.9762 -0.9427 -1.7367
-0.9771 -4.6539 0.2891
Ni W I Rh
2 1 1 1
direct
0.5000 0.0000 0.0000
0.0000 0.5000 0.0000
0.5000 0.5000 0.5000
0.0000 0.0000 0.0000
0.0000 0.0000 0.5000
```

***

# NiRu3I

A crystal of NiRu3I relaxed with PBEsol (meta-GGA SCAN, the Alexandria database).

## Properties
Space-group type: Pm-3m (221)
Formation energy from raw total energies in eV per formula unit: 10.61
Total DFT energy (no corrections) in eV/cell: -146.79
Density in Mg/m³: 7.8

```
NiRu3I
1.0
4.6957 0.0000 0.0000
0.0000 4.6957 0.0000
0.0000 0.0000 4.6957
Ru I Ni
3 1 1
direct
0.5000 0.0000 0.0000
0.0000 0.0000 0.5000
0.0000 0.5000 0.0000
0.0000 0.0000 0.0000
0.5000 0.5000 0.5000
```

***

# NiRu2I

A crystal of NiRu2I relaxed with PBEsol (meta-GGA SCAN, the Alexandria database).

## Properties
Space-group type: Fm-3m (225)
Formation energy from raw total energies in eV per formula unit: 3.30
Total DFT energy (no corrections) in eV/cell: -119.27
Density in Mg/m³: 11.2

```
NiRu2I
1.0
-4.1883 -0.3320 -1.0632
-1.1326 -0.9576 -4.0721
-1.7010 -3.8782 -0.9211
Ru Ni I
2 1 1
direct
0.2500 0.2500 0.2500
0.7500 0.7500 0.7500
0.0000 0.0000 0.0000
0.5000 0.5000 0.5000
```

***

# Ni3RuI

A crystal of Ni3RuI relaxed with PBEsol (meta-GGA SCAN, the Alexandria database).

## Properties
Space-group type: Pm-3m (221)
Formation energy from raw total energies in eV per formula unit: 7.08
Total DFT energy (no corrections) in eV/cell: -113.01
Density in Mg/m³: 7.5

```
Ni3RuI
1.0
4.4704 0.0000 0.0000
0.0000 4.4704 0.0000
0.0000 0.0000 4.4704
I Ni Ru
1 3 1
direct
0.5000 0.5000 0.5000
0.0000 0.5000 0.0000
0.5000 0.0000 0.0000
0.0000 0.0000 0.5000
0.0000 0.0000 0.0000
```

***

# SrNiRuI2

A crystal of SrNiRuI2 relaxed with PBEsol (meta-GGA SCAN, the Alexandria database).

## Properties
Space-group type: P4/mmm (123)
Formation energy from raw total energies in eV per formula unit: 3.10
Total DFT energy (no corrections) in eV/cell: -143.66
Density in Mg/m³: 6.3

```
SrNiRuI2
1.0
5.0670 0.0000 0.0000
0.0000 5.0670 0.0000
0.0000 0.0000 5.1074
Sr I Ru Ni
1 2 1 1
direct
0.0000 0.0000 0.5000
0.0000 0.5000 0.0000
0.5000 0.0000 0.0000
0.5000 0.5000 0.5000
0.0000 0.0000 0.0000
```

***

# Ni3SI

A crystal of Ni3SI relaxed with PBEsol (meta-GGA SCAN, the Alexandria database).

## Properties
Space-group type: Pm-3m (221)
Formation energy from raw total energies in eV per formula unit: 1.68
Total DFT energy (no corrections) in eV/cell: -93.21
Density in Mg/m³: 7.2

```
Ni3SI
1.0
-4.1358 0.4030 0.9350
-1.0109 -1.1571 -3.9725
-0.1219 -4.0793 1.2192
I Ni S
1 3 1
direct
0.5000 0.5000 0.5000
0.5000 0.0000 0.0000
0.0000 0.0000 0.5000
0.0000 0.5000 0.0000
0.0000 0.0000 0.0000
```

***

# NiS2I

A crystal of NiS2I relaxed with PBEsol (meta-GGA SCAN, the Alexandria database).

## Properties
Space-group type: Fm-3m (225)
Formation energy from raw total energies in eV per formula unit: 4.34
Total DFT energy (no corrections) in eV/cell: -67.83
Density in Mg/m³: 6.2

```
NiS2I
1.0
-4.0394 1.7915 1.1334
-3.5238 -2.7373 0.9487
-1.5286 -0.3487 4.2840
I Ni S
1 1 2
direct
0.5000 0.5000 0.5000
0.0000 0.0000 0.0000
0.2500 0.2500 0.2500
0.7500 0.7500 0.7500
```

***

# NiS2I

A crystal of NiS2I relaxed with PBEsol (meta-GGA SCAN, the Alexandria database).

## Properties
Space-group type: R-3m (166)
Formation energy from raw total energies in eV per formula unit: 2.71
Total DFT energy (no corrections) in eV/cell: -69.46
Density in Mg/m³: 3.7

```
NiS2I
1.0
4.4766 0.0000 0.0000
2.2383 3.8769 0.0000
2.2383 1.2923 6.4382
Ni S I
1 2 1
direct
0.0000 0.0000 0.0000
0.1040 0.1040 0.6880
0.8960 0.8960 0.3120
0.5000 0.5000 0.5000
```

***

# NiS2I

A crystal of NiS2I relaxed with PBEsol (meta-GGA SCAN, the Alexandria database).

## Properties
Space-group type: R-3m (166)
Formation energy from raw total energies in eV per formula unit: -0.43
Total DFT energy (no corrections) in eV/cell: -72.60
Density in Mg/m³: 5.2

```
NiS2I
1.0
-2.8324 0.7843 1.9530
-3.2352 -0.3409 -1.3672
-2.3033 -6.8911 2.6148
S Ni I
2 1 1
direct
0.1182 0.1182 0.6455
0.8818 0.8818 0.3545
0.5000 0.5000 0.5000
0.0000 0.0000 0.0000
```

***

# ScNiSb2I

A crystal of ScNiSb2I relaxed with PBEsol (meta-GGA SCAN, the Alexandria database).

## Properties
Space-group type: P4/mmm (123)
Formation energy from raw total energies in eV per formula unit: 3.57
Total DFT energy (no corrections) in eV/cell: -138.10
Density in Mg/m³: 5.0

```
ScNiSb2I
1.0
-4.7735 -0.7422 -2.4584
2.5438 -2.0768 -4.3124
-0.3494 -4.9228 2.1647
Sc Sb Ni I
1 2 1 1
direct
0.0000 0.0000 0.0000
0.0000 0.5000 0.0000
0.5000 0.0000 0.0000
0.5000 0.5000 0.5000
0.0000 0.0000 0.5000
```

***

# ScNiSbI2

A crystal of ScNiSbI2 relaxed with PBEsol (meta-GGA SCAN, the Alexandria database).

## Properties
Space-group type: P4/mmm (123)
Formation energy from raw total energies in eV per formula unit: 1.49
Total DFT energy (no corrections) in eV/cell: -139.66
Density in Mg/m³: 4.7

```
ScNiSbI2
1.0
-0.7531 0.8157 -5.3204
3.4890 -4.0168 -1.1097
-4.3104 -3.7537 0.0347
Sc Ni I Sb
1 1 2 1
direct
0.0000 0.0000 0.0000
0.5000 0.5000 0.5000
0.0000 0.5000 0.0000
0.5000 0.0000 0.0000
0.0000 0.0000 0.5000
```

***

# Sc3NiI

A crystal of Sc3NiI relaxed with PBEsol (meta-GGA SCAN, the Alexandria database).

## Properties
Space-group type: Pm-3m (221)
Formation energy from raw total energies in eV per formula unit: -1.02
Total DFT energy (no corrections) in eV/cell: -96.65
Density in Mg/m³: 4.6

```
Sc3NiI
1.0
-2.8229 -0.3098 -3.9723
2.2321 -4.1556 -1.2621
-3.3005 -2.5454 2.5440
Sc Ni I
3 1 1
direct
0.0000 0.5000 0.0000
0.5000 0.0000 0.0000
0.0000 0.0000 0.5000
0.0000 0.0000 0.0000
0.5000 0.5000 0.5000
```

***

# NiSe2I

A crystal of NiSe2I relaxed with PBEsol (meta-GGA SCAN, the Alexandria database).

## Properties
Space-group type: R-3m (166)
Formation energy from raw total energies in eV per formula unit: -0.62
Total DFT energy (no corrections) in eV/cell: -93.69
Density in Mg/m³: 6.2

```
NiSe2I
1.0
-2.3627 0.0017 -2.8094
-3.5701 -0.6040 0.6039
-3.1258 7.5569 0.2353
Se I Ni
2 1 1
direct
0.8821 0.8821 0.3538
0.1179 0.1179 0.6462
0.0000 0.0000 0.0000
0.5000 0.5000 0.5000
```

***

# SiNi3I

A crystal of SiNi3I relaxed with PBEsol (meta-GGA SCAN, the Alexandria database).

## Properties
Space-group type: Pm-3m (221)
Formation energy from raw total energies in eV per formula unit: 6.92
Total DFT energy (no corrections) in eV/cell: -88.35
Density in Mg/m³: 5.8

```
SiNi3I
1.0
4.5593 0.0000 0.0000
0.0000 4.5593 0.0000
0.0000 0.0000 4.5593
I Ni Si
1 3 1
direct
0.0000 0.0000 0.0000
0.0000 0.5000 0.0000
0.0000 0.0000 0.5000
0.5000 0.0000 0.0000
0.5000 0.5000 0.5000
```

***

# Ni2SnI

A crystal of Ni2SnI relaxed with PBEsol (meta-GGA SCAN, the Alexandria database).

## Properties
Space-group type: Fm-3m (225)
Formation energy from raw total energies in eV per formula unit: 2.66
Total DFT energy (no corrections) in eV/cell: -102.35
Density in Mg/m³: 8.7

```
Ni2SnI
1.0
-0.0960 2.3852 3.9533
-3.9537 0.4170 2.3498
-0.5422 -2.2108 4.0181
I Ni Sn
1 2 1
direct
0.5000 0.5000 0.5000
0.2500 0.2500 0.2500
0.7500 0.7500 0.7500
0.0000 0.0000 0.0000
```

***

# Ta2NiSnI

A crystal of Ta2NiSnI relaxed with PBEsol (meta-GGA SCAN, the Alexandria database).

## Properties
Space-group type: P4/mmm (123)
Formation energy from raw total energies in eV per formula unit: 8.70
Total DFT energy (no corrections) in eV/cell: -213.30
Density in Mg/m³: 9.9

```
Ta2NiSnI
1.0
-3.6298 0.0136 2.4539
-0.7257 -4.8877 -1.0464
2.7342 -1.2733 4.0514
Ni Ta Sn I
1 2 1 1
direct
0.5000 0.0000 0.0000
0.0000 0.0000 0.5000
0.0000 0.5000 0.0000
0.5000 0.5000 0.5000
0.0000 0.0000 0.0000
```

***

# Sr2NiI

A crystal of Sr2NiI relaxed with PBEsol (meta-GGA SCAN, the Alexandria database).

## Properties
Space-group type: Fm-3m (225)
Formation energy from raw total energies in eV per formula unit: -0.90
Total DFT energy (no corrections) in eV/cell: -98.37
Density in Mg/m³: 5.2

```
Sr2NiI
1.0
5.4792 0.0000 0.0000
2.7396 4.7451 0.0000
2.7396 1.5817 4.4737
Sr Ni I
2 1 1
direct
0.2500 0.2500 0.2500
0.7500 0.7500 0.7500
0.0000 0.0000 0.0000
0.5000 0.5000 0.5000
```

***

# Ta2NiI

A crystal of Ta2NiI relaxed with PBEsol (meta-GGA SCAN, the Alexandria database).

## Properties
Space-group type: Fm-3m (225)
Formation energy from raw total energies in eV per formula unit: 2.99
Total DFT energy (no corrections) in eV/cell: -183.09
Density in Mg/m³: 13.6

```
Ta2NiI
1.0
-0.1181 -2.2993 3.9328
1.1964 -4.3960 0.1061
3.8857 -1.2557 2.0229
Ta I Ni
2 1 1
direct
0.2500 0.2500 0.2500
0.7500 0.7500 0.7500
0.5000 0.5000 0.5000
0.0000 0.0000 0.0000
```

***

# Ta3NiI

A crystal of Ta3NiI relaxed with PBEsol (meta-GGA SCAN, the Alexandria database).

## Properties
Space-group type: Pm-3m (221)
Formation energy from raw total energies in eV per formula unit: 13.24
Total DFT energy (no corrections) in eV/cell: -239.43
Density in Mg/m³: 10.3

```
Ta3NiI
1.0
-3.3939 0.9716 -3.3918
-2.8803 -3.4810 1.8850
-2.0376 3.3023 2.9849
I Ta Ni
1 3 1
direct
0.0000 0.0000 0.0000
0.5000 0.0000 0.0000
0.0000 0.5000 0.0000
0.0000 0.0000 0.5000
0.5000 0.5000 0.5000
```